1.
Entry from Alexandria via LeMat-Bulk: crystalline Sm3Cd2Pd2 at its relaxed geometry (PBE).

```
Sm3Cd2Pd2
1.0
4.0789 0.0000 0.5413
0.0000 3.7572 0.0000
0.5472 0.0000 11.5153
Pd Sm Cd
2 3 2
Cartesian
3.2147 1.8786 7.0531
1.4113 1.8786 5.0035
1.0539 0.0000 7.6970
0.0000 0.0000 0.0000
3.5722 0.0000 4.3596
1.7962 1.8786 2.1036
2.8299 1.8786 9.9530
```

## Properties
Space-group type ... No. 65
DFT formation energy ... -0.5905 eV/atom



2.
Entry from Alexandria via LeMat-Bulk: crystalline CdSb2Br6 at its relaxed geometry (PBE).

```
CdSb2Br6
1.0
-1.6717 4.9554 -2.5042
-8.9157 -3.2899 -7.3125
-6.0928 5.7075 8.6075
Br Sb Cd
12 4 2
Cartesian
-5.2112 3.6780 4.0224
-10.1051 2.6258 -1.5917
-7.4061 1.8238 -4.8946
-9.2741 5.5491 3.6854
-6.2380 0.6800 -1.1777
-13.6243 4.5250 -2.1597
-10.4422 6.6929 -0.0315
-11.4690 3.6949 -5.2316
-4.4216 3.6370 -3.2896
-3.0559 2.8479 0.9504
-6.5751 4.7471 0.3825
-12.2586 3.7360 2.0803
-11.2120 4.8934 -3.0296
-6.8953 3.0727 -2.7661
-5.4682 2.4795 1.8204
-9.7849 4.3002 1.5568
-6.5109 6.9457 7.9804
-10.1693 0.4272 -9.1896
```

## Properties
ΔE_f (raw) ... -0.475 eV/atom
Space-group type ... No. 15



3.
Entry from Alexandria via LeMat-Bulk: crystalline LiSmSe2 at its relaxed geometry (PBE).

```
LiSmSe2
1.0
-0.3412 -3.5058 -2.1446
2.4306 -3.2092 0.8943
-4.0392 -4.5582 4.1290
Se Sm Li
2 1 1
Cartesian
-0.4073 -2.7790 0.6428
-2.8290 -3.9653 2.9673
-2.6182 -9.0211 3.2685
-1.1094 -5.7024 1.5684
```

## Properties
ΔE_f (raw) ... -1.619 eV/atom
Space-group type ... No. 160



4.
Entry from Alexandria via LeMat-Bulk: crystalline Ac2Nd3Y4 at its relaxed geometry (PBE).

```
Ac2Nd3Y4
1.0
-1.1868 3.5224 -0.2547
0.3049 -1.6262 3.3381
25.7642 8.8216 1.9445
Ac Y Nd
2 4 3
Cartesian
21.5800 9.4312 2.6236
1.7928 2.6562 1.1302
10.5915 5.6688 1.7943
5.1517 3.8062 1.3837
19.3826 6.6366 1.4628
13.9034 4.7605 1.0493
25.3321 8.6736 1.9118
15.9587 7.5065 2.1993
8.5153 2.9156 0.6427
```

## Properties
Space-group type ... No. 156
DFT formation energy ... 0.0782 eV/atom



5.
Entry from Alexandria via LeMat-Bulk: crystalline Pr14DyPu at its relaxed geometry (PBE).

```
Pr14DyPu
1.0
-6.2116 -0.9996 3.8415
-1.3647 -6.1664 -3.8019
5.2657 -5.5281 7.0759
Pr Pu Dy
14 1 1
Cartesian
0.0103 -3.7839 0.7882
-0.4217 -7.1074 6.3295
-2.9731 -4.4093 6.4243
-3.7946 -7.3827 0.8081
-0.5497 -6.9927 2.6027
-0.6726 -6.8833 -1.1172
-2.4951 -1.1421 0.9645
-3.6524 -7.4898 4.5232
2.6956 -6.6030 4.3967
-6.2919 -4.7333 0.9844
0.1299 -3.9125 4.5034
2.0073 -9.6967 2.4841
-1.1093 -10.2018 4.4166
-3.1119 -4.2831 2.7145
-5.6052 -1.6460 2.8853
-3.1825 -4.2287 -0.9354
```

## Properties
Space-group type ... No. 38
DFT formation energy ... 0.0426 eV/atom



6.
Entry from Alexandria via LeMat-Bulk: crystalline Tb2AsSe2 at its relaxed geometry (PBE).

```
Tb2AsSe2
1.0
-1.7888 7.4984 0.2262
-6.8366 -1.6592 3.1599
4.5327 -1.5252 3.0382
As Tb Se
2 4 4
Cartesian
-5.0603 -0.8736 3.5456
0.9675 5.1877 2.8787
-0.3557 2.7872 3.6477
-3.7371 1.5269 2.7766
-2.6946 -1.4561 5.0070
-1.3981 5.7701 1.4173
-1.1633 0.1068 2.8933
2.2484 1.4222 3.7468
-6.3412 2.8918 2.6776
-2.9295 4.2072 3.5310
```

## Properties
ΔE_f (raw) ... -1.288 eV/atom
Space-group type ... No. 15



7.
Entry from Alexandria via LeMat-Bulk: crystalline Pd3Pt5 at its relaxed geometry (PBE).

```
Pd3Pt5
1.0
-0.3836 2.7400 0.3738
-0.1392 -0.3960 2.7601
15.7274 2.0537 1.0876
Pd Pt
3 5
Cartesian
1.6998 1.4281 1.7026
13.5048 2.9696 2.5189
7.8637 1.0268 0.5438
9.5654 2.4552 2.2465
11.8035 1.5413 0.8162
5.6393 1.9425 1.9750
3.9239 0.5124 0.2714
0.0000 0.0000 0.0000
```

## Properties
Space-group type ... No. 123
DFT formation energy ... -0.0364 eV/atom



8.
Entry from Alexandria via LeMat-Bulk: crystalline Cs4Pa3AgO12 at its relaxed geometry (PBE).

```
Cs4Pa3AgO12
1.0
-2.2535 -3.3881 6.5780
3.4689 -5.2205 -4.5322
4.9565 5.7156 1.6102
Cs O Ag Pa
4 12 1 3
Cartesian
-1.1268 -1.6941 3.2890
1.7344 -2.6102 -2.2661
3.0859 -1.4465 1.8280
2.4783 2.8578 0.8051
0.3289 -2.3296 0.5536
1.6553 -0.9884 4.6056
1.2834 -3.7224 3.0699
4.8885 0.8294 0.5861
2.7140 -4.1805 0.2924
1.9715 1.6976 5.9724
4.5165 -1.9046 -0.9496
6.1454 0.3611 -2.1313
3.4578 1.2875 3.3636
2.2800 0.1340 -0.7907
0.8865 -6.2791 1.4922
0.7315 0.6298 2.2158
0.0000 0.0000 0.0000
0.6077 -4.3043 1.0229
4.2127 0.2476 -1.4610
1.3515 1.1637 4.0941
```

## Properties
ΔE_f (raw) ... -2.310 eV/atom
Space-group type ... No. 229



9.
Entry from Alexandria via LeMat-Bulk: crystalline Mn2MoRu at its relaxed geometry (PBE).

```
Mn2MoRu
1.0
4.6580 -0.0310 0.0000
1.6204 4.3672 0.0000
-3.1392 -2.1681 2.6726
Mn Mo Ru
2 1 1
Cartesian
0.8102 2.1836 1.3363
0.0000 0.0000 0.0000
3.1392 2.1681 0.0000
2.3290 -0.0155 1.3363
```

## Properties
Space-group type ... No. 119
DFT formation energy ... 0.0658 eV/atom



10.
Entry from Alexandria via LeMat-Bulk: crystalline ZnIn2Re at its relaxed geometry (PBE).

```
ZnIn2Re
1.0
5.6323 0.0100 -0.0025
4.9173 2.7465 -0.0025
1.1799 0.3083 4.8942
Zn In Re
1 2 1
Cartesian
9.1977 2.4033 3.8089
2.7177 0.7101 1.5277
1.3146 0.3435 4.6215
5.5442 1.4486 2.2699
```

## Properties
Space-group type ... No. 8
DFT formation energy ... 0.3830 eV/atom



11.
Entry from Alexandria via LeMat-Bulk: crystalline KPm5Hg6 at its relaxed geometry (PBE).

```
KPm5Hg6
1.0
-3.6839 1.2099 -3.7880
1.0694 -6.8816 -3.2379
-4.5577 -0.2896 8.2185
Pm Hg K
5 6 1
Cartesian
-3.2988 -3.8972 -1.9151
0.5347 -3.4408 -1.6190
-3.8734 -2.0641 3.1076
-3.6787 -0.3739 -0.4204
-3.4935 -5.5874 1.6129
-1.7663 -2.8941 0.7934
-5.4059 -3.0672 0.3991
-1.0639 -4.4018 -4.2498
-1.5506 -1.2699 -2.7762
-1.2575 -6.1687 -0.7474
-5.9147 0.2074 1.9399
0.0000 0.0000 0.0000
```

## Properties
Space-group type ... No. 71
DFT formation energy ... -0.3951 eV/atom



12.
Entry from Alexandria via LeMat-Bulk: crystalline La8Rh3I3Br at its relaxed geometry (PBE).

```
La8Rh3I3Br
1.0
-4.9094 -0.5419 7.1387
8.3908 -2.2151 0.3243
-2.0963 8.9604 -0.7615
La Rh I Br
8 3 3 1
Cartesian
3.0881 3.8463 4.8023
2.5511 1.4342 1.8633
-0.1209 1.1109 5.2792
5.3081 4.0913 1.5744
-3.9229 2.1121 5.1271
-1.1659 4.7693 4.8382
-1.7030 2.3572 1.8992
1.5061 5.0925 1.4223
0.6926 3.1017 3.3507
3.1473 3.3726 -0.2186
-3.5028 4.2093 3.1886
0.0000 0.0000 0.0000
1.7407 -1.3785 3.7315
4.1954 -1.1076 0.1622
-1.0482 4.4802 -0.3808
```

## Properties
ΔE_f (raw) ... -0.935 eV/atom
Space-group type ... No. 12